A geometry-optimized SrNb2Cr structure, computed with PBE.

The total energy comes out at -108.44 eV per cell. For the formation energy, the calculation gives 104.6 kJ/mol of atoms. The value obtained for the energy above the most stable polymorph in this dataset is 0.0 kJ per mole of atoms.

The structure belongs to space group Fm-3m (No. 225); the cell edges are 6.7409, 6.7409 and 6.7409 Å and the angles 90.00°, 90.00° and 90.00°. The asymmetric unit holds Sr at (0.0000, 0.0000, 0.0000), Nb at (0.2500, 0.2500, 0.2500) and Cr at (0.0000, 0.0000, 0.5000).